[1]
! IrW (PBEsol, relaxed); values from VASP
&SYSTEM
  ibrav = 0, nat = 2, ntyp = 2
/
ATOMIC_SPECIES
Ir 192.22 Ir.upf
W 183.84 W.upf
CELL_PARAMETERS angstrom
3.122 0.000 0.000
0.000 3.122 0.000
0.000 0.000 3.122
ATOMIC_POSITIONS crystal
Ir 0.000 0.000 0.000
W 0.500 0.500 0.500
! Space group: Pm-3m (221)
! Magnetization (μB/atom): 0.000
! Polymorph energy (0 for the lowest one) (eV per atom): 0.7305
! Raw total energy (eV per cell): -22.801
! Formation energy from the elements (eV per formula unit): 0.83
! V (Å³/atom): 15.21

***

[2]
! La2TcSe (PBEsol, relaxed); values from VASP
&SYSTEM
  ibrav = 0, nat = 4, ntyp = 3
/
ATOMIC_SPECIES
La 138.91 La.upf
Tc 98.00 Tc.upf
Se 78.96 Se.upf
CELL_PARAMETERS angstrom
2.178 1.257 6.941
-2.178 1.257 6.941
0.000 -2.515 6.941
ATOMIC_POSITIONS crystal
La 0.000 0.000 0.000
La 0.165 0.165 0.165
Tc 0.422 0.422 0.422
Se 0.743 0.743 0.743
! Space group: R3m (160)
! Magnetization (μB/atom): 0.000
! Raw total energy (eV per cell): -27.800
! Energy relative to the elements, uncorrected (meV per atom): -498
! V (Å³/atom): 28.52

***

[3]
! Cs2CdAg2 (PBEsol, relaxed); values from VASP
&SYSTEM
  ibrav = 0, nat = 5, ntyp = 3
/
ATOMIC_SPECIES
Cs 132.91 Cs.upf
Cd 112.41 Cd.upf
Ag 107.87 Ag.upf
CELL_PARAMETERS angstrom
-3.454 3.454 4.072
3.454 -3.454 4.072
3.454 3.454 -4.072
ATOMIC_POSITIONS crystal
Cs 0.250 0.750 0.500
Cs 0.750 0.250 0.500
Cd 0.000 0.000 0.000
Ag 0.337 0.337 0.000
Ag 0.663 0.663 0.000
! Space group: I4/mmm (139)
! Magnetization (μB/atom): 0.000
! Raw total energy (eV per cell): -8.855
! Formation energy from the elements (eV per formula unit): 0.85
! V (Å³/atom): 38.86

***

[4]
! Mg4Sc5 (PBEsol, relaxed); values from VASP
&SYSTEM
  ibrav = 0, nat = 9, ntyp = 2
/
ATOMIC_SPECIES
Mg 24.30 Mg.upf
Sc 44.96 Sc.upf
CELL_PARAMETERS angstrom
-4.796 4.796 2.252
4.796 -4.796 2.252
4.796 4.796 -2.252
ATOMIC_POSITIONS crystal
Mg 0.000 0.335 0.335
Mg 0.000 0.665 0.665
Mg 0.335 0.000 0.335
Mg 0.665 0.000 0.665
Sc 0.000 0.000 0.000
Sc 0.334 0.334 0.669
Sc 0.334 0.666 0.000
Sc 0.666 0.334 0.000
Sc 0.666 0.666 0.331
! Space group: I4/mmm (139)
! Magnetization (μB/atom): 0.159
! Polymorph energy (0 for the lowest one) (eV per atom): 0.0000
! Raw total energy (eV per cell): -39.795
! Formation energy from the elements (eV per formula unit): 0.10
! V (Å³/atom): 23.03

***

[5]
! Mg2CoSe (PBEsol, relaxed); values from VASP
&SYSTEM
  ibrav = 0, nat = 4, ntyp = 3
/
ATOMIC_SPECIES
Mg 24.30 Mg.upf
Co 58.93 Co.upf
Se 78.96 Se.upf
CELL_PARAMETERS angstrom
-1.496 2.141 5.471
1.496 -2.141 5.471
1.496 2.141 -5.471
ATOMIC_POSITIONS crystal
Mg 0.000 0.000 0.000
Mg 0.690 0.190 0.500
Co 0.480 0.480 0.000
Se 0.319 0.819 0.500
! Space group: Imm2 (44)
! Magnetization (μB/atom): 0.000
! Polymorph energy (0 for the lowest one) (eV per atom): 0.0000
! Raw total energy (eV per cell): -15.906
! Energy relative to the elements, uncorrected (meV per atom): -221
! V (Å³/atom): 17.52

***

[6]
! Ca2InAu (PBEsol, relaxed); values from VASP
&SYSTEM
  ibrav = 0, nat = 4, ntyp = 3
/
ATOMIC_SPECIES
Ca 40.08 Ca.upf
In 114.82 In.upf
Au 196.97 Au.upf
CELL_PARAMETERS angstrom
3.609 0.000 0.000
0.000 3.609 0.000
0.000 0.000 8.259
ATOMIC_POSITIONS crystal
Ca 0.000 0.000 0.000
Ca 0.500 0.500 0.372
In 0.000 0.000 0.613
Au 0.500 0.500 0.797
! Space group: P4mm (99)
! Magnetization (μB/atom): 0.000
! Raw total energy (eV per cell): -12.899
! Formation energy from the elements (eV per formula unit): -1.73
! V (Å³/atom): 26.89

***

[7]
! Hf2TlTe2 (PBEsol, relaxed); values from VASP
&SYSTEM
  ibrav = 0, nat = 5, ntyp = 3
/
ATOMIC_SPECIES
Hf 178.49 Hf.upf
Tl 204.38 Tl.upf
Te 127.60 Te.upf
CELL_PARAMETERS angstrom
-2.119 2.119 7.635
2.119 -2.119 7.635
2.119 2.119 -7.635
ATOMIC_POSITIONS crystal
Hf 0.250 0.750 0.500
Hf 0.750 0.250 0.500
Tl 0.000 0.000 0.000
Te 0.380 0.380 0.000
Te 0.620 0.620 0.000
! Space group: I4/mmm (139)
! Magnetization (μB/atom): 0.000
! Raw total energy (eV per cell): -32.096
! Energy relative to the elements, uncorrected (meV per atom): -281
! V (Å³/atom): 27.42

***

[8]
! TaB2Mo (PBEsol, relaxed); values from VASP
&SYSTEM
  ibrav = 0, nat = 4, ntyp = 3
/
ATOMIC_SPECIES
Ta 180.95 Ta.upf
B 10.81 B.upf
Mo 95.94 Mo.upf
CELL_PARAMETERS angstrom
3.104 0.000 0.000
0.000 1.605 4.265
0.000 -1.605 4.265
ATOMIC_POSITIONS crystal
Ta 0.000 0.000 0.000
B 0.000 0.293 0.293
B 0.500 0.413 0.413
Mo 0.500 0.709 0.709
! Space group: Amm2 (38)
! Magnetization (μB/atom): 0.000
! Raw total energy (eV per cell): -41.278
! Formation energy from the elements (eV per formula unit): -2.93
! V (Å³/atom): 10.63

***

[9]
! MgTcOs2 (PBEsol, relaxed); values from VASP
&SYSTEM
  ibrav = 0, nat = 4, ntyp = 3
/
ATOMIC_SPECIES
Mg 24.30 Mg.upf
Tc 98.00 Tc.upf
Os 190.23 Os.upf
CELL_PARAMETERS angstrom
0.000 3.058 3.058
3.058 0.000 3.058
3.058 3.058 0.000
ATOMIC_POSITIONS crystal
Mg 0.000 0.000 0.000
Tc 0.750 0.750 0.750
Os 0.250 0.250 0.250
Os 0.500 0.500 0.500
! Space group: F-43m (216)
! Magnetization (μB/atom): 0.000
! Raw total energy (eV per cell): -35.902
! Formation energy from the elements (eV per formula unit): 1.51
! V (Å³/atom): 14.30

***

[10]
! NbCdO2 (PBEsol, relaxed); values from VASP
&SYSTEM
  ibrav = 0, nat = 4, ntyp = 3
/
ATOMIC_SPECIES
Nb 92.91 Nb.upf
Cd 112.41 Cd.upf
O 16.00 O.upf
CELL_PARAMETERS angstrom
0.000 2.846 2.846
2.846 0.000 2.846
2.846 2.846 0.000
ATOMIC_POSITIONS crystal
Nb 0.000 0.000 0.000
Cd 0.500 0.500 0.500
O 0.250 0.250 0.250
O 0.750 0.750 0.750
! Space group: Fm-3m (225)
! Magnetization (μB/atom): 0.004
! Polymorph energy (0 for the lowest one) (eV per atom): 0.8058
! Raw total energy (eV per cell): -24.845
! Energy relative to the elements, uncorrected (meV per atom): -582
! V (Å³/atom): 11.52

***

[11]
! In2FeIr (PBEsol, relaxed); values from VASP
&SYSTEM
  ibrav = 0, nat = 4, ntyp = 3
/
ATOMIC_SPECIES
In 114.82 In.upf
Fe 55.84 Fe.upf
Ir 192.22 Ir.upf
CELL_PARAMETERS angstrom
2.963 0.000 0.000
0.000 2.963 0.000
0.000 0.000 7.961
ATOMIC_POSITIONS crystal
In 0.000 0.000 0.000
In 0.500 0.500 0.348
Fe 0.500 0.500 0.770
Ir 0.000 0.000 0.589
! Space group: P4mm (99)
! Magnetization (μB/atom): 0.740
! Raw total energy (eV per cell): -24.225
! Formation energy from the elements (eV per formula unit): 0.53
! V (Å³/atom): 17.47

***

[12]
! MnMo2Pt (PBEsol, relaxed); values from VASP
&SYSTEM
  ibrav = 0, nat = 4, ntyp = 3
/
ATOMIC_SPECIES
Mn 54.94 Mn.upf
Mo 95.94 Mo.upf
Pt 195.08 Pt.upf
CELL_PARAMETERS angstrom
-1.917 1.917 3.829
1.917 -1.917 3.829
1.917 1.917 -3.829
ATOMIC_POSITIONS crystal
Mn 0.000 0.000 0.000
Mo 0.500 0.500 0.000
Mo 0.750 0.250 0.500
Pt 0.250 0.750 0.500
! Space group: I-4m2 (119)
! Magnetization (μB/atom): 0.210
! Polymorph energy (0 for the lowest one) (eV per atom): 0.1067
! Raw total energy (eV per cell): -40.260
! Formation energy from the elements (eV per formula unit): 0.00
! V (Å³/atom): 14.07

***

[13]
! Mn2N (PBEsol, relaxed); values from VASP
&SYSTEM
  ibrav = 0, nat = 12, ntyp = 2
/
ATOMIC_SPECIES
Mn 54.94 Mn.upf
N 14.01 N.upf
CELL_PARAMETERS angstrom
4.326 0.000 0.000
0.000 5.441 0.000
0.000 0.000 4.731
ATOMIC_POSITIONS crystal
Mn 0.250 0.121 0.083
Mn 0.250 0.379 0.583
Mn 0.250 0.621 0.083
Mn 0.250 0.879 0.583
Mn 0.750 0.121 0.417
Mn 0.750 0.379 0.917
Mn 0.750 0.621 0.417
Mn 0.750 0.879 0.917
N 0.000 0.134 0.750
N 0.000 0.866 0.250
N 0.500 0.366 0.250
N 0.500 0.634 0.750
! Space group: Pbcn (60)
! Magnetization (μB/atom): 1.182
! Raw total energy (eV per cell): -116.755
! Energy relative to the elements, uncorrected (meV per atom): -380
! V (Å³/atom): 9.28